Entry 1:
CsBaS2Cl | PBEsol | optimized geometry

Formation energy without anion corrections = -0.60 eV/atom
Volume = 34.8 Å³ per atom
Uncorrected energy = -3.375 eV/atom
Crystal system = tetragonal
Space-group type = P4/mmm (123)

Cell: 5.429 5.429 5.906 Å, 90.00 90.00 90.00°
Positions (direct):
Cs 0.000 0.000 0.000
Ba 0.500 0.500 0.500
S 0.000 0.500 0.000
S 0.500 0.000 0.000
Cl 0.000 0.000 0.500

=====

Entry 2:
CsBaS2Cl | PBEsol | optimized geometry

Formation energy without anion corrections = -0.96 eV/atom
Volume = 41.3 Å³ per atom
Uncorrected energy = -3.730 eV/atom
Crystal system = tetragonal
Space-group type = P4/mmm (123)

Cell: 5.888 5.888 5.960 Å, 90.00 90.00 90.00°
Positions (direct):
Cs 0.000 0.000 0.000
Ba 0.500 0.500 0.500
S 0.000 0.500 0.500
S 0.500 0.000 0.500
Cl 0.500 0.500 0.000

=====

Entry 3:
CsBa2SnS4Cl | PBEsol | optimized geometry

Formation energy without anion corrections = -1.57 eV/atom
Volume = 30.3 Å³ per atom
Uncorrected energy = -4.795 eV/atom
Crystal system = monoclinic
Space-group type = P2_1/c (14)

Cell: 9.965 8.802 12.425 Å, 90.00 90.72 90.00°
Positions (direct):
Cs 0.023 0.085 0.328
Cs 0.023 0.415 0.828
Cs 0.977 0.585 0.172
Cs 0.977 0.915 0.672
Ba 0.247 0.604 0.477
Ba 0.247 0.896 0.977
Ba 0.481 0.093 0.321
Ba 0.481 0.407 0.821
Ba 0.519 0.593 0.179
Ba 0.519 0.907 0.679
Ba 0.753 0.104 0.023
Ba 0.753 0.396 0.523
Sn 0.258 0.189 0.599
Sn 0.258 0.311 0.099
Sn 0.742 0.689 0.901
Sn 0.742 0.811 0.401
S 0.060 0.172 0.057
S 0.060 0.328 0.557
S 0.283 0.129 0.786
S 0.283 0.371 0.286
S 0.284 0.539 0.998
S 0.284 0.961 0.498
S 0.447 0.155 0.059
S 0.447 0.345 0.559
S 0.553 0.655 0.441
S 0.553 0.845 0.941
S 0.716 0.039 0.502
S 0.716 0.461 0.002
S 0.717 0.629 0.714
S 0.717 0.871 0.214
S 0.940 0.672 0.443
S 0.940 0.828 0.943
Cl 0.285 0.672 0.726
Cl 0.285 0.828 0.226
Cl 0.715 0.172 0.774
Cl 0.715 0.328 0.274

=====

Entry 4:
CsBaSi2Cl | PBEsol | optimized geometry

Formation energy without anion corrections = 0.17 eV/atom
Volume = 30.6 Å³ per atom
Uncorrected energy = -3.149 eV/atom
Crystal system = tetragonal
Space-group type = P4/mmm (123)

Cell: 5.141 5.141 5.795 Å, 90.00 90.00 90.00°
Positions (direct):
Cs 0.000 0.000 0.000
Ba 0.500 0.500 0.000
Si 0.000 0.500 0.500
Si 0.500 0.000 0.500
Cl 0.000 0.000 0.500

=====

Entry 5:
BaCuCl3 | PBEsol | optimized geometry

Formation energy without anion corrections = -1.57 eV/atom
Volume = 22.6 Å³ per atom
Uncorrected energy = -4.067 eV/atom
Crystal system = cubic
Space-group type = Pm-3m (221)

Cell: 4.832 4.832 4.832 Å, 90.00 90.00 90.00°
Positions (direct):
Ba 0.000 0.000 0.000
Cu 0.500 0.500 0.500
Cl 0.000 0.500 0.500
Cl 0.500 0.000 0.500
Cl 0.500 0.500 0.000

=====

Entry 6:
Ba4CuCl | PBEsol | optimized geometry

Formation energy without anion corrections = 0.36 eV/atom
Volume = 42.2 Å³ per atom
Uncorrected energy = -2.129 eV/atom
Crystal system = cubic
Space-group type = F-43m (216)

Cell: 7.101 7.101 7.101 Å, 60.00 60.00 60.00°
Positions (direct):
Ba 0.125 0.125 0.125
Ba 0.125 0.125 0.624
Ba 0.125 0.624 0.125
Ba 0.624 0.125 0.125
Cu 0.750 0.750 0.750
Cl 0.500 0.500 0.500

=====

Entry 7:
BaNaCuClO2 | PBEsol | optimized geometry

Formation energy without anion corrections = -1.62 eV/atom
Volume = 17.7 Å³ per atom
Uncorrected energy = -5.017 eV/atom
Crystal system = tetragonal
Space-group type = P4mm (99)

Cell: 3.900 3.900 6.984 Å, 90.00 90.00 90.00°
Positions (direct):
Ba 0.000 0.000 0.000
Na 0.000 0.000 0.549
Cu 0.500 0.500 0.734
Cl 0.500 0.500 0.258
O 0.000 0.500 0.752
O 0.500 0.000 0.752

=====

Entry 8:
Ba2NbCu2Pb2ClO8 | PBEsol | optimized geometry

Formation energy without anion corrections = -1.81 eV/atom
Volume = 15.1 Å³ per atom
Uncorrected energy = -6.551 eV/atom
Crystal system = orthorhombic
Space-group type = Amm2 (38)

Cell: 15.406 3.962 3.962 Å, 90.00 90.00 90.00°
Positions (direct):
Ba 0.152 0.000 0.000
Ba 0.848 0.000 0.000
Nb 0.000 0.502 0.502
Cu 0.279 0.498 0.498
Cu 0.721 0.498 0.498
Pb 0.384 0.998 0.998
Pb 0.616 0.998 0.998
Cl 0.500 0.499 0.499
O 0.000 0.489 0.996
O 0.000 0.996 0.489
O 0.129 0.496 0.496
O 0.290 0.498 0.998
O 0.290 0.998 0.498
O 0.710 0.498 0.998
O 0.710 0.998 0.498
O 0.871 0.496 0.496

=====

Entry 9:
Ba3Cu2Cl2O4 | PBEsol | optimized geometry

Formation energy without anion corrections = -1.90 eV/atom
Volume = 18.6 Å³ per atom
Uncorrected energy = -5.549 eV/atom
Crystal system = orthorhombic
Space-group type = Pmma (51)

Cell: 6.535 5.955 10.511 Å, 90.00 90.00 90.00°
Positions (direct):
Ba 0.250 0.000 0.050
Ba 0.250 0.000 0.701
Ba 0.250 0.500 0.288
Ba 0.750 0.000 0.299
Ba 0.750 0.000 0.950
Ba 0.750 0.500 0.712
Cu 0.000 0.500 0.000
Cu 0.250 0.500 0.830
Cu 0.500 0.500 0.000
Cu 0.750 0.500 0.170
Cl 0.250 0.000 0.384
Cl 0.250 0.500 0.586
Cl 0.750 0.000 0.616
Cl 0.750 0.500 0.414
O 0.031 0.277 0.861
O 0.031 0.723 0.861
O 0.469 0.277 0.861
O 0.469 0.723 0.861
O 0.531 0.277 0.139
O 0.531 0.723 0.139
O 0.969 0.277 0.139
O 0.969 0.723 0.139

=====

Entry 10:
Ba2CuClO2 | PBEsol | optimized geometry

Formation energy without anion corrections = -2.08 eV/atom
Volume = 24.6 Å³ per atom
Uncorrected energy = -5.607 eV/atom
Crystal system = trigonal
Space-group type = R-3m (166)

Cell: 9.684 9.684 9.684 Å, 25.47 25.47 25.47°
Positions (direct):
Ba 0.245 0.245 0.245
Ba 0.755 0.755 0.755
Cu 0.000 0.000 0.000
Cl 0.500 0.500 0.500
O 0.064 0.064 0.064
O 0.936 0.936 0.936

=====

Entry 11:
BaCuPClO4 | PBEsol | optimized geometry

Formation energy without anion corrections = -2.08 eV/atom
Volume = 15.4 Å³ per atom
Uncorrected energy = -6.488 eV/atom
Crystal system = orthorhombic
Space-group type = P2_12_12_1 (19)

Cell: 7.262 7.838 8.679 Å, 90.00 90.00 90.00°
Positions (direct):
Ba 0.125 0.017 0.205
Ba 0.375 0.983 0.705
Ba 0.625 0.483 0.795
Ba 0.875 0.517 0.295
Cu 0.135 0.490 0.679
Cu 0.365 0.510 0.179
Cu 0.635 0.010 0.321
Cu 0.865 0.990 0.821
P 0.126 0.685 0.919
P 0.374 0.315 0.419
P 0.626 0.815 0.081
P 0.874 0.185 0.581
Cl 0.169 0.737 0.462
Cl 0.331 0.263 0.962
Cl 0.669 0.763 0.538
Cl 0.831 0.237 0.038
O 0.028 0.078 0.657
O 0.078 0.878 0.916
O 0.163 0.639 0.090
O 0.206 0.350 0.312
O 0.294 0.650 0.812
O 0.337 0.361 0.590
O 0.422 0.122 0.416
O 0.472 0.922 0.157
O 0.528 0.422 0.343
O 0.578 0.622 0.084
O 0.663 0.861 0.910
O 0.706 0.150 0.688
O 0.794 0.850 0.188
O 0.837 0.139 0.410
O 0.922 0.378 0.584
O 0.972 0.578 0.843

=====

Entry 12:
Ba2TaCu2Pb2ClO8 | PBEsol | optimized geometry

Formation energy without anion corrections = -1.89 eV/atom
Volume = 15.1 Å³ per atom
Uncorrected energy = -6.737 eV/atom
Crystal system = orthorhombic
Space-group type = Amm2 (38)

Cell: 15.469 3.947 3.947 Å, 90.00 90.00 90.00°
Positions (direct):
Ba 0.153 0.000 0.000
Ba 0.847 0.000 0.000
Ta 0.000 0.500 0.500
Cu 0.278 0.500 0.500
Cu 0.722 0.500 0.500
Pb 0.384 0.000 0.000
Pb 0.616 0.000 0.000
Cl 0.500 0.499 0.499
O 0.000 0.000 0.501
O 0.000 0.501 0.000
O 0.127 0.500 0.500
O 0.290 0.000 0.500
O 0.290 0.500 0.000
O 0.710 0.000 0.500
O 0.710 0.500 0.000
O 0.873 0.500 0.500

=====

Entry 13:
BaCuPCl2 | PBEsol | optimized geometry

Formation energy without anion corrections = -0.87 eV/atom
Volume = 22.2 Å³ per atom
Uncorrected energy = -4.125 eV/atom
Crystal system = tetragonal
Space-group type = P4/mmm (123)

Cell: 4.910 4.910 4.594 Å, 90.00 90.00 90.00°
Positions (direct):
Ba 0.000 0.000 0.000
Cu 0.500 0.500 0.500
P 0.500 0.500 0.000
Cl 0.000 0.500 0.500
Cl 0.500 0.000 0.500

=====

Entry 14:
Ba2CuS2Cl2 | PBEsol | optimized geometry

Formation energy without anion corrections = -1.73 eV/atom
Volume = 25.2 Å³ per atom
Uncorrected energy = -4.786 eV/atom
Crystal system = tetragonal
Space-group type = I4/mmm (139)

Cell: 9.050 9.050 9.050 Å, 150.80 150.80 41.77°
Positions (direct):
Ba 0.128 0.128 0.000
Ba 0.872 0.872 0.000
Cu 0.500 0.500 0.000
S 0.000 0.500 0.500
S 0.500 0.000 0.500
Cl 0.315 0.315 0.000
Cl 0.685 0.685 0.000

=====

Entry 15:
Ba2DyCl7 | PBEsol | optimized geometry

Formation energy without anion corrections = -2.45 eV/atom
Volume = 27.2 Å³ per atom
Uncorrected energy = -4.787 eV/atom
Crystal system = monoclinic
Space-group type = P2_1/c (14)

Cell: 6.777 15.394 10.435 Å, 90.00 90.74 90.00°
Positions (direct):
Ba 0.234 0.220 0.451
Ba 0.234 0.280 0.951
Ba 0.236 0.561 0.324
Ba 0.236 0.939 0.824
Ba 0.764 0.061 0.176
Ba 0.764 0.439 0.676
Ba 0.766 0.720 0.049
Ba 0.766 0.780 0.549
Dy 0.280 0.627 0.782
Dy 0.280 0.873 0.282
Dy 0.720 0.127 0.718
Dy 0.720 0.373 0.218
Cl 0.012 0.742 0.303
Cl 0.012 0.758 0.803
Cl 0.013 0.605 0.585
Cl 0.013 0.895 0.085
Cl 0.203 0.041 0.287
Cl 0.203 0.459 0.787
Cl 0.206 0.639 0.031
Cl 0.206 0.861 0.531
Cl 0.374 0.069 0.621
Cl 0.374 0.431 0.121
Cl 0.498 0.104 0.928
Cl 0.498 0.396 0.428
Cl 0.499 0.228 0.204
Cl 0.499 0.272 0.704
Cl 0.501 0.728 0.296
Cl 0.501 0.772 0.796
Cl 0.502 0.604 0.572
Cl 0.502 0.896 0.072
Cl 0.626 0.569 0.879
Cl 0.626 0.931 0.379
Cl 0.794 0.139 0.469
Cl 0.794 0.361 0.969
Cl 0.797 0.541 0.213
Cl 0.797 0.959 0.713
Cl 0.987 0.105 0.915
Cl 0.987 0.395 0.415
Cl 0.988 0.242 0.197
Cl 0.988 0.258 0.697

=====

Entry 16:
Ba2ErCl7 | PBEsol | optimized geometry

Formation energy without anion corrections = -2.45 eV/atom
Volume = 27.0 Å³ per atom
Uncorrected energy = -4.777 eV/atom
Crystal system = monoclinic
Space-group type = P2_1/c (14)

Cell: 6.768 15.354 10.410 Å, 90.00 90.69 90.00°
Positions (direct):
Ba 0.235 0.220 0.451
Ba 0.235 0.280 0.951
Ba 0.236 0.561 0.324
Ba 0.236 0.939 0.824
Ba 0.764 0.061 0.176
Ba 0.764 0.439 0.676
Ba 0.765 0.720 0.049
Ba 0.765 0.780 0.549
Er 0.280 0.627 0.782
Er 0.280 0.873 0.282
Er 0.720 0.127 0.718
Er 0.720 0.373 0.218
Cl 0.012 0.742 0.302
Cl 0.012 0.758 0.802
Cl 0.013 0.605 0.586
Cl 0.013 0.895 0.086
Cl 0.203 0.041 0.287
Cl 0.203 0.459 0.787
Cl 0.204 0.638 0.028
Cl 0.204 0.862 0.528
Cl 0.377 0.069 0.621
Cl 0.377 0.431 0.121
Cl 0.499 0.104 0.927
Cl 0.499 0.396 0.427
Cl 0.499 0.729 0.296
Cl 0.499 0.771 0.796
Cl 0.501 0.229 0.204
Cl 0.501 0.271 0.704
Cl 0.501 0.604 0.573
Cl 0.501 0.896 0.073
Cl 0.623 0.569 0.879
Cl 0.623 0.931 0.379
Cl 0.796 0.138 0.472
Cl 0.796 0.362 0.972
Cl 0.797 0.541 0.213
Cl 0.797 0.959 0.713
Cl 0.987 0.105 0.914
Cl 0.987 0.395 0.414
Cl 0.988 0.242 0.198
Cl 0.988 0.258 0.698

=====

Entry 17:
Ba6EuCl2F12 | PBEsol | optimized geometry

Formation energy without anion corrections = -3.68 eV/atom
Volume = 18.7 Å³ per atom
Uncorrected energy = -6.085 eV/atom
Crystal system = hexagonal
Space-group type = P-6 (174)

Cell: 10.486 10.486 4.122 Å, 90.00 90.00 120.00°
Positions (direct):
Ba 0.047 0.779 0.000
Ba 0.221 0.268 0.000
Ba 0.444 0.071 0.500
Ba 0.628 0.556 0.500
Ba 0.732 0.953 0.000
Ba 0.929 0.372 0.500
Eu 0.333 0.667 0.500
Cl 0.000 0.000 0.500
Cl 0.667 0.333 0.000
F 0.126 0.571 0.000
F 0.190 0.406 0.500
F 0.216 0.810 0.500
F 0.282 0.051 0.000
F 0.394 0.295 0.500
F 0.429 0.555 0.000
F 0.445 0.874 0.000
F 0.594 0.784 0.500
F 0.705 0.100 0.500
F 0.768 0.718 0.000
F 0.900 0.606 0.500
F 0.949 0.232 0.000